Record 1
TiZn2Ga | Alexandria via LeMat-Bulk | PBE | optimized geometry; magnetization = 0.00 μB per cell; SG = P4/mmm; calculated total energy = -3.70 eV/atom; formation energy from the elements = -0.329 eV/atom; volume = 15.09 Å³ per atom
1.0
3.881 0.000 0.000
0.000 3.881 0.000
0.000 0.000 4.007
Ti Zn Ga
1 2 1
direct
0.000 0.000 0.000
0.000 0.500 0.500
0.500 0.000 0.500
0.500 0.500 0.000

=====

Record 2
Tb2Pd4Pb | Alexandria via LeMat-Bulk | PBE | optimized geometry; magnetization = 0.00 μB per cell; SG = I4/mmm; calculated total energy = -5.53 eV/atom; formation energy from the elements = -0.713 eV/atom; offset from the most stable computed form = 0.0 meV/atom; volume = 21.93 Å³ per atom
1.0
-2.043 2.043 9.198
2.043 -2.043 9.198
2.043 2.043 -9.198
Tb Pd Pb
2 4 1
direct
0.129 0.129 0.000
0.871 0.871 0.000
0.250 0.750 0.500
0.353 0.353 0.000
0.647 0.647 0.000
0.750 0.250 0.500
0.500 0.500 0.000